# 1
# La4SnAuN

La4SnAuN after structural relaxation (GGA-PBE, Alexandria).

abc: 7.0871 16.2642 7.1035
angles: 90.00 90.00 90.00
Closest atoms and distances in Å follow each position.
Space group Cmcm (No. 63)
Symmetry-distinct sites (fractional):
La 0.0000 0.0640 0.2500 x4  1 Au 2.95, 1 N 3.29
La 0.0000 0.4151 0.2500 x4  1 N 2.42
La 0.2500 0.2500 0.0000 x8  2 N 2.52
Sn 0.0000 0.3861 0.7500 x4  7 La 3.23-3.58
Au 0.0000 0.1176 0.7500 x4  5 La 2.95-3.31
N 0.0000 0.2665 0.2500 x4  5 La 2.42-2.52

Values from the calculation:
* DFT total energy: -5.90 eV/atom
* formation energy (no corrections): -0.8554 eV per atom
* ρ: 7.18 g/cm3

# 2
# In2GeW2

In2GeW2 after structural relaxation (GGA-PBE, Alexandria).

abc: 3.7413 3.7413 14.2367
angles: 90.00 90.00 90.00
Closest atoms and distances in Å follow each position.
Space group I4/mmm (No. 139)
Symmetry-distinct sites (fractional):
In 0.0000 0.5000 0.2500 x4  4 In 2.65
Ge 0.0000 0.0000 0.0000 x2  8 W 2.92
W 0.0000 0.0000 0.4128 x4  1 W 2.48

Values from the calculation:
* DFT total energy: -6.25 eV/atom
* ΔE_f: 946.9 meV/atom
* ρ: 11.17 g/cm3

# 3
# Li2Ga3Ni7

Li2Ga3Ni7 after structural relaxation (GGA-PBE, Alexandria).

abc: 5.3789 6.3919 16.1366
angles: 90.00 90.00 90.00
Closest atoms and distances in Å follow each position.
Space group Fmmm (No. 69)
Symmetry-distinct sites (fractional):
Li 0.0000 0.0000 0.1668 x8  8 Ni 2.48-2.49, 4 Ga 2.69-2.71
Ga 0.0000 0.0000 0.0000 x4  10 Ni 2.47-2.69, 2 Li 2.69
Ga 0.0000 0.0000 0.3346 x8  9 Ni 2.48-2.67, 3 Li 2.69-2.71
Ni 0.0000 0.0000 0.5000 x4  8 Ni 2.47, 4 Ga 2.67-2.69
Ni 0.2500 0.2500 0.0822 x16  6 Ni 2.47-2.71, 4 Ga 2.47-2.48, 2 Li 2.49
Ni 0.2500 0.2500 0.2500 x8  4 Li 2.48, 4 Ga 2.49, 4 Ni 2.69-2.71

Values from the calculation:
* DFT total energy: -4.77 eV/atom
* ΔE_f: -321.2 meV/atom
* ρ: 7.59 g/cm3

# 4
# KOs2Br

KOs2Br after structural relaxation (GGA-PBE, Alexandria).

abc: 7.0244 3.6573 8.3639
angles: 90.00 107.78 90.00
Closest atoms and distances in Å follow each position.
Space group Cm (No. 8)
Symmetry-distinct sites (fractional):
K 0.0000 0.0000 0.0000 x2  3 Br 3.25-3.28, 3 Os 3.35-3.49
Os 0.1802 0.0000 0.6720 x2  3 Os 2.39-2.41
Os 0.4609 0.0000 0.5626 x2  3 Os 2.39-2.41
Br 0.2953 0.5000 0.2995 x2  2 Os 2.82

Values from the calculation:
* DFT total energy: -5.86 eV/atom
* formation energy (no corrections): 0.4518 eV per atom
* ρ: 8.11 g/cm3

# 5
# TiCNF2

TiCNF2 after structural relaxation (GGA-PBE, Alexandria).

abc: 4.5592 4.5592 2.4806
angles: 90.00 90.00 90.00
Closest atoms and distances in Å follow each position.
Space group P4/mmm (No. 123)
Symmetry-distinct sites (fractional):
Ti 0.0000 0.0000 0.0000 x1  2 Ti 2.48, 8 F 2.60
C 0.5000 0.5000 0.5000 x1  2 N 1.24
N 0.5000 0.5000 0.0000 x1  2 C 1.24
F 0.0000 0.5000 0.5000 x2  2 C 2.28, 2 F 2.48

Values from the calculation:
* DFT total energy: -6.27 eV/atom
* formation energy (no corrections): -0.4362 eV per atom
* ρ: 3.60 g/cm3

# 6
# Sr3Se

Sr3Se after structural relaxation (GGA-PBE, Alexandria).

abc: 4.3000 4.3000 11.0039
angles: 90.00 90.00 120.00
Closest atoms and distances in Å follow each position.
Space group P-6m2 (No. 187)
Symmetry-distinct sites (fractional):
Sr 0.0000 0.0000 0.0000 x1  12 Sr 4.30-4.33
Sr 0.6667 0.3333 0.3222 x2  3 Se 3.16
Se 0.0000 0.0000 0.5000 x1  6 Sr 3.16

Values from the calculation:
* DFT total energy: -3.04 eV/atom
* formation energy (no corrections): -0.9100 eV per atom
* ρ: 3.22 g/cm3

Which of these has the lowest DFT total energy? TiCNF2

Among the records above, which one has the highest ρ? In2GeW2